## Y2SeBr (GGA-PBEsol)

Data for Y2SeBr after structural relaxation.

Output
Mass density   5.51 g/cm3
Formation energy without anion corrections   -1.1613 eV per atom
Energy above the most stable polymorph in this dataset   0.245 eV per atom
DOS(E_F)   2.588 states/eV/f.u.
E   -24.0 eV for the cell shown
Crystal system   monoclinic

Cell and atoms, written as extended XYZ:
```
4
Lattice="3.662 -4.282 0.000 3.662 4.282 0.000 -1.788 0.000 3.233" Properties=species:S:1:pos:R:3 pbc="T T T"
Y 1.831 2.141 0.000
Y 1.831 -2.141 0.000
Se -0.894 0.000 1.617
Br 2.768 0.000 1.617
```